(1)
Computed, not measured: an optimized crystal structure of Ba4Cd3Au at the PBE level of DFT.

Computed properties:
For the density of states at the Fermi level, the calculation gives 7.0 states/eV/f.u. The value obtained for the size of the total moment is 0.0 Bohr magnetons per cell. The value obtained for the energy relative to the elements is -403 meV/atom. The calculated total energy is -2.117 eV/atom.

Cell lengths 4.171, 4.171, 17.051 Å; angles 90.00, 90.00, 90.00 degrees
Space group P4/mmm (No. 123)
Inequivalent atoms, fractional coordinates:
Ba  0.000  0.000  0.114 x2
Ba  0.000  0.000  0.373 x2
Cd  0.500  0.500  0.245 x2
Cd  0.500  0.500  0.500 x1
Au  0.500  0.500  0.000 x1

=====

(2)
Computed, not measured: an optimized crystal structure of Cs4RhF2 at the PBE level of DFT.

Computed properties:
Its formation energy from raw total energies is -1.0115 eV per atom. For the density of states at the Fermi level, the calculation gives 3.2 states/eV/f.u. The value obtained for the size of the total moment is 0.0 Bohr magnetons per cell. The calculated total energy is -3.084 eV/atom.

Cell lengths 5.841, 5.841, 16.066 Å; angles 90.00, 90.00, 90.00 degrees
Space group I4/mmm (No. 139)
Inequivalent atoms, fractional coordinates:
Cs  0.000  0.000  0.206 x4
Cs  0.000  0.500  0.000 x4
Rh  0.000  0.000  0.000 x2
F  0.000  0.000  0.373 x4

=====

(3)
Computed, not measured: an optimized crystal structure of TlOF2 at the PBE level of DFT.

Computed properties:
Its formation energy from raw total energies is -1.0199 eV per atom. The energy above the lowest structure with this stoichiometry is 0.000 eV per atom. The value obtained for the size of the total moment is 2.1 Bohr magnetons per cell. The calculated total energy is -3.787 eV/atom.

Cell lengths 5.466, 3.769, 6.165 Å; angles 90.00, 105.40, 90.00 degrees
Space group P2_1/m (No. 11)
Inequivalent atoms, fractional coordinates:
Tl  0.134  0.250  0.270 x2
O  0.472  0.750  0.599 x2
F  0.071  0.250  0.655 x2
F  0.195  0.750  0.023 x2

=====

(4)
Computed, not measured: an optimized crystal structure of ErGa4CoRu2 at the PBE level of DFT.

Computed properties:
For the density of states at the Fermi level, the calculation gives 3.8 states/eV/f.u. The value obtained for the size of the total moment is 0.0 Bohr magnetons per cell. The value obtained for the energy relative to the elements is -396 meV/atom. The calculated total energy is -5.687 eV/atom.

Cell lengths 4.2103, 4.2103, 24.7681 Å; angles 90.00, 90.00, 120.00 degrees
Space group R-3m (No. 166, hexagonal axes)
Inequivalent atoms, fractional coordinates:
Er  0.0000  0.0000  0.0000 x3
Ga  0.0000  0.0000  0.1331 x6
Ga  0.0000  0.0000  0.4006 x6
Co  0.0000  0.0000  0.5000 x3
Ru  0.0000  0.0000  0.2383 x6

=====

(5)
Computed, not measured: an optimized crystal structure of Zr2ScIn at the PBE level of DFT.

Computed properties:
For the density of states at the Fermi level, the calculation gives 6.6 states/eV/f.u. The value obtained for the size of the total moment is 6.5 Bohr magnetons per cell. The value obtained for the energy relative to the elements is -91 meV/atom. The calculated total energy is -6.632 eV/atom.

Cell lengths 7.138, 7.138, 7.138 Å; angles 90.00, 90.00, 90.00 degrees
Space group F-43m (No. 216)
Inequivalent atoms, fractional coordinates:
Zr  0.000  0.000  0.000 x4
Zr  0.250  0.250  0.250 x4
Sc  0.000  0.000  0.500 x4
In  0.250  0.250  0.750 x4

=====

(6)
Computed, not measured: an optimized crystal structure of SrZrOs2O at the PBE level of DFT.

Computed properties:
Its formation energy from raw total energies is 1.9150 eV per atom. For the density of states at the Fermi level, the calculation gives 6.5 states/eV/f.u. The value obtained for the size of the total moment is 2.3 Bohr magnetons per cell. The calculated total energy is -5.615 eV/atom.

Cell lengths 5.054, 5.054, 4.235 Å; angles 90.00, 90.00, 90.00 degrees
Space group P4/mmm (No. 123)
Inequivalent atoms, fractional coordinates:
Sr  0.000  0.000  0.000 x1
Zr  0.500  0.500  0.500 x1
Os  0.000  0.500  0.000 x2
O  0.000  0.000  0.500 x1

=====

(7)
Computed, not measured: an optimized crystal structure of ZrAl2Si2 at the PBE level of DFT.

Computed properties:
Its formation energy from raw total energies is -0.1055 eV per atom. For the density of states at the Fermi level, the calculation gives 2.8 states/eV/f.u. The value obtained for the size of the total moment is 0.0 Bohr magnetons per cell. The calculated total energy is -5.481 eV/atom.

Cell lengths 3.773, 3.773, 12.405 Å; angles 90.00, 90.00, 90.00 degrees
Space group P4/nmm (No. 129, origin choice 2)
Inequivalent atoms, fractional coordinates:
Zr  0.250  0.250  0.196 x2
Al  0.250  0.250  0.648 x2
Al  0.250  0.750  0.000 x2
Si  0.250  0.250  0.845 x2
Si  0.250  0.750  0.500 x2

=====

(8)
Computed, not measured: an optimized crystal structure of Nd2Pu2Pb3 at the PBE level of DFT.

Computed properties:
For the density of states at the Fermi level, the calculation gives 14.4 states/eV/f.u. The value obtained for the size of the total moment is 23.7 Bohr magnetons per cell. The value obtained for the energy relative to the elements is -262 meV/atom. The calculated total energy is -7.308 eV/atom.

Cell lengths 4.708, 24.407, 3.534 Å; angles 90.00, 90.00, 90.00 degrees
Space group Cmmm (No. 65)
Inequivalent atoms, fractional coordinates:
Nd  0.000  0.076  0.000 x4
Pu  0.000  0.215  0.000 x4
Pb  0.000  0.346  0.500 x4
Pb  0.000  0.500  0.500 x2